<A>
# P2RuSeO

A geometry-optimized P2RuSeO structure (PBE-GGA, Alexandria).

abc: 4.730 4.730 3.505
angles: 90.00 90.00 90.00
Sites, in units of the cell vectors:
O (0.000, 0.000, 0.500)
Se (0.000, 0.000, 0.000)
P (0.500, 0.000, 0.000)
P (0.000, 0.500, 0.000)
Ru (0.500, 0.500, 0.500)

Calculated values
Space-group type = No. 123
Density of states at the Fermi level = 0.813 states/eV/atom

<B>
# P2RuSeO

A geometry-optimized P2RuSeO structure (PBE-GGA, Alexandria).

abc: 4.730 4.730 3.715
angles: 90.00 90.00 90.00
Sites, in units of the cell vectors:
Ru (0.000, 0.000, 0.000)
Se (0.500, 0.500, 0.500)
P (0.500, 0.000, 0.000)
P (0.000, 0.500, 0.000)
O (0.000, 0.000, 0.500)

Calculated values
Space-group type = No. 123
Density of states at the Fermi level = 0.742 states/eV/atom

Most stable structure, least stable structure: <B>, <A>.